VASP calculation (PBE-GGA) on an optimized crystal structure of Mg2TlP.

Computed properties:
* crystal system: tetragonal
* formation energy from the elements: -22 kJ/mol of formula units

Cell and atoms, written as POSCAR:
```
Mg2TlP
1.0
3.654 0.000 0.000
0.000 3.654 0.000
0.000 0.000 7.533
Mg Tl P
2 1 1
direct
0.000 0.000 0.000 Mg
0.500 0.500 0.325 Mg
0.500 0.500 0.735 Tl
0.000 0.000 0.335 P
```

VASP calculation (PBE-GGA) on an optimized crystal structure of MgTlP.

Computed properties:
* crystal system: tetragonal
* formation energy from the elements: -11 kJ/mol of formula units

Cell and atoms, written as POSCAR:
```
MgTlP
1.0
-1.820 1.820 6.086
1.820 -1.820 6.086
1.820 1.820 -6.086
Mg Tl P
1 1 1
direct
0.000 0.000 0.000 Mg
0.249 0.249 0.000 Tl
0.472 0.472 0.000 P
```

VASP calculation (PBE-GGA) on an optimized crystal structure of MgTlP3.

Computed properties:
* crystal system: cubic
* formation energy from the elements: 376 kJ/mol of formula units

Cell and atoms, written as POSCAR:
```
MgTlP3
1.0
4.915 0.000 0.000
0.000 4.915 0.000
0.000 0.000 4.915
Mg Tl P
1 1 3
direct
0.000 0.000 0.000 Mg
0.500 0.500 0.500 Tl
0.000 0.000 0.500 P
0.000 0.500 0.000 P
0.500 0.000 0.000 P
```

Among the records above, which one has the lowest formation energy from the elements?
Mg2TlP